# 1
Material: PdRuPt
Method: DFT, PBE-GGA
State: optimized geometry

a = 2.7629 Å, b = 2.7629 Å, c = 6.7737 Å
α = 90.00°, β = 90.00°, γ = 120.00°
Sites, in units of the cell vectors:
Ru (0.6667, 0.3333, 0.3333)
Pd (0.0000, 0.0000, 0.0084)
Pt (0.3333, 0.6667, 0.6584)

Results
Excess energy over the best structure of this formula in the dataset in eV/atom: 0.000
Space-group type: P3m1, No. 156
VASP energy in eV/atom: -6.774

# 2
Material: BeTcMo2
Method: DFT, PBE-GGA
State: optimized geometry

a = 3.3297 Å, b = 4.0958 Å, c = 4.1046 Å
α = 90.00°, β = 90.00°, γ = 90.00°
Sites, in units of the cell vectors:
Be (0.0000, 0.5000, 0.5000)
Mo (0.0000, 0.0000, 0.0000)
Mo (0.5000, 0.5000, 0.0000)
Tc (0.5000, 0.0000, 0.5000)

Results
Space-group type: Pmmm, No. 47
VASP energy in eV/atom: -8.828

Question: VASP energy of number 2 (BeTcMo2)?
Answer: -8.828 eV/atom